# 1
Entry from the Alexandria database: a relaxed structure of Er5Mg2Tl4 (PBE-GGA).

For the total energy, the calculation gives -73.02 eV per cell. Its density of states at the Fermi level is 8.5 states/eV/f.u. For the calculated formation energy, the calculation gives -94.4 meV per atom.

The space group is C2/m (No. 12) and the conventional cell measures 21.852, 3.615 and 8.518 Å, with angles of 90.00, 112.81 and 90.00 degrees. The inequivalent atoms are Er at (0.000, 0.000, 0.000), Er at (0.156, 0.500, 0.947), Er at (0.157, 0.500, 0.369), Mg at (0.081, 0.000, 0.582), Tl at (0.001, 0.500, 0.296) and Tl at (0.220, 0.000, 0.721).

# 2
Entry from the Alexandria database: a relaxed structure of NiAgAu2 (PBE-GGA).

For the total energy, the calculation gives -29.48 eV per cell. The value obtained for the excess energy over the best structure of this formula in the dataset is 0.085 eV/atom. Its density of states at the Fermi level is 2.8 states/eV/f.u. For the calculated formation energy, the calculation gives 112.1 meV per atom.

The space group is C2/m (No. 12) and the conventional cell measures 9.337, 2.861 and 5.012 Å, with angles of 90.00, 102.11 and 90.00 degrees. The inequivalent atoms are Ni at (0.000, 0.000, 0.000), Ag at (0.000, 0.500, 0.500) and Au at (0.238, 0.500, 0.238).

# 3
Entry from the Alexandria database: a relaxed structure of Pu4TePSe2 (PBE-GGA).

For the total energy, the calculation gives -82.94 eV per cell. Its density of states at the Fermi level is 43.6 states/eV/f.u. The value obtained for the formation energy (no corrections) is -122 kJ per mole of atoms.

The space group is P2/m (No. 10) and the conventional cell measures 7.240, 4.170 and 7.317 Å, with angles of 90.00, 109.75 and 90.00 degrees. The inequivalent atoms are Pu at (0.243, 0.000, 0.230), Pu at (0.256, 0.500, 0.767), Te at (0.500, 0.500, 0.500), P at (0.500, 0.000, 0.000), Se at (0.000, 0.000, 0.500) and Se at (0.000, 0.500, 0.000).

# 4
Entry from the Alexandria database: a relaxed structure of YAl2Pd9 (PBE-GGA).

For the total energy, the calculation gives -68.83 eV per cell. Its density of states at the Fermi level is 9.5 states/eV/f.u. For the calculated formation energy, the calculation gives -678.5 meV per atom.

The space group is P4/mmm (No. 123) and the conventional cell measures 4.016, 4.016 and 11.790 Å, with angles of 90.00, 90.00 and 90.00 degrees. The inequivalent atoms are Y at (0.000, 0.000, 0.000), Al at (0.000, 0.000, 0.343), Pd at (0.000, 0.500, 0.183), Pd at (0.000, 0.500, 0.500), Pd at (0.500, 0.500, 0.000) and Pd at (0.500, 0.500, 0.340).

Q: Which formula does entry 4 have?
A: YAl2Pd9

Q: Number 4 is which compound?
A: YAl2Pd9

What did the fourth record say?
Entry from the Alexandria database: a relaxed structure of YAl2Pd9 (PBE-GGA).

For the total energy, the calculation gives -68.83 eV per cell. Its density of states at the Fermi level is 9.5 states/eV/f.u. For the calculated formation energy, the calculation gives -678.5 meV per atom.

The space group is P4/mmm (No. 123) and the conventional cell measures 4.016, 4.016 and 11.790 Å, with angles of 90.00, 90.00 and 90.00 degrees. The inequivalent atoms are Y at (0.000, 0.000, 0.000), Al at (0.000, 0.000, 0.343), Pd at (0.000, 0.500, 0.183), Pd at (0.000, 0.500, 0.500), Pd at (0.500, 0.500, 0.000) and Pd at (0.500, 0.500, 0.340).